DFT (PBE) results for an optimized crystal structure of RuRh.

abc: 4.2275 4.2275 7.9353
angles: 90.00 90.00 120.00
Atoms (fractional coordinates):
Rh 0.3333 0.6667 0.0841
Rh 0.6667 0.3333 0.9159
Rh 0.3333 0.6667 0.4159
Rh 0.6667 0.3333 0.5841
Ru 0.0000 0.0000 0.2500
Ru 0.6667 0.3333 0.2500
Ru 0.0000 0.0000 0.7500
Ru 0.3333 0.6667 0.7500

## Properties
- symmetry = No. 194
- calculated formation energy (eV per atom) = 0.440